Entry 1:
An optimized crystal structure of RbPPbS4, computed with PBE-GGA.

Lattice parameters (Å, degrees): 6.7350 6.7518 9.1567 90.00 107.60 90.00
Fractional positions:
Rb (0.7217, 0.7500, 0.9319)
Rb (0.2783, 0.2500, 0.0681)
P (0.2017, 0.7500, 0.3156)
P (0.7983, 0.2500, 0.6844)
Pb (0.7594, 0.7500, 0.4567)
Pb (0.2406, 0.2500, 0.5433)
S (0.9915, 0.4929, 0.7285)
S (0.0085, 0.9929, 0.2715)
S (0.0085, 0.5071, 0.2715)
S (0.9915, 0.0071, 0.7285)
S (0.3913, 0.7500, 0.1772)
S (0.6087, 0.2500, 0.8228)
S (0.3737, 0.7500, 0.5440)
S (0.6263, 0.2500, 0.4560)

Output
* Fermi-level density of states: 0.000 states/eV/atom
* space group: P2_1/m, No. 11
* total magnetic moment: 0.0 μB per formula unit
* energy relative to the elements, uncorrected: -0.6879 eV/atom
* raw total energy: -4.487 eV per atom

Entry 2:
An optimized crystal structure of TmLu2I, computed with PBE-GGA.

Lattice parameters (Å, degrees): 3.6843 3.6843 10.4620 79.86 79.86 60.00
Fractional positions:
I (0.0000, 0.0000, 0.0000)
Lu (0.7467, 0.7467, 0.7599)
Lu (0.2533, 0.2533, 0.2401)
Tm (0.5000, 0.5000, 0.5000)

Output
* Fermi-level density of states: 1.239 states/eV/atom
* space group: R-3m, No. 166
* total magnetic moment: 0.0 μB per formula unit
* energy relative to the elements, uncorrected: -0.2865 eV/atom
* raw total energy: -4.052 eV per atom

Entry 3:
An optimized crystal structure of RbNa2Tc, computed with PBE-GGA.

Lattice parameters (Å, degrees): 5.0415 5.0415 12.3567 78.23 78.23 90.00
Last column: magnetic moment on the atom in μB.
Fractional positions:
Na (0.6770, 0.1250, 0.2500)  -0.01
Na (0.0730, 0.6250, 0.2500)  -0.01
Na (0.3750, 0.3230, 0.7500)  -0.01
Na (0.8750, 0.9270, 0.7500)  -0.01
Tc (0.0000, 0.0000, 0.0000)  3.09
Tc (0.7500, 0.2500, 0.5000)  3.08
Rb (0.5000, 0.5000, 0.0000)  0.00
Rb (0.2500, 0.7500, 0.5000)  0.00

Output
* Fermi-level density of states: 1.631 states/eV/atom
* space group: I-42d, No. 122
* DFT formation energy: 1241 meV/atom
* total magnetic moment: 3.4 μB per formula unit
* raw total energy: -2.252 eV per atom

Entry 4:
An optimized crystal structure of BaCd2HgPt, computed with PBE-GGA.

Lattice parameters (Å, degrees): 5.2769 5.2769 5.3595 90.00 90.00 90.00
Fractional positions:
Cd (0.0000, 0.5000, 0.0000)
Cd (0.5000, 0.0000, 0.0000)
Hg (0.0000, 0.0000, 0.5000)
Pt (0.0000, 0.0000, 0.0000)
Ba (0.5000, 0.5000, 0.5000)

Output
* Fermi-level density of states: 0.633 states/eV/atom
* space group: P4/mmm, No. 123
* DFT formation energy: -361 meV/atom
* total magnetic moment: 0.0 μB per formula unit
* raw total energy: -2.380 eV per atom

Entry 5:
An optimized crystal structure of CsBa3C, computed with PBE-GGA.

Lattice parameters (Å, degrees): 6.6697 6.6697 6.6697 90.00 90.00 90.00
Last column: magnetic moment on the atom in μB.
Fractional positions:
Cs (0.0000, 0.0000, 0.0000)  -0.17
C (0.5000, 0.5000, 0.5000)  0.93
Ba (0.0000, 0.5000, 0.0000)  -0.18
Ba (0.0000, 0.0000, 0.5000)  -0.28
Ba (0.5000, 0.0000, 0.0000)  -0.15

Output
* Fermi-level density of states: 1.223 states/eV/atom
* space group: Pm-3m, No. 221
* DFT formation energy: 1969 meV/atom
* total magnetic moment: 0.8 μB per formula unit
* raw total energy: -1.200 eV per atom

Entry 6:
An optimized crystal structure of NdYAu2, computed with PBE-GGA.

Lattice parameters (Å, degrees): 4.0871 4.0871 7.9708 75.14 75.14 60.00
Fractional positions:
Nd (0.6682, 0.6682, 0.9954)
Y (0.4988, 0.4988, 0.5035)
Au (0.0872, 0.0872, 0.7383)
Au (0.2457, 0.2457, 0.2628)

Output
* Fermi-level density of states: 0.769 states/eV/atom
* space group: R3m, No. 160
* DFT formation energy: -695 meV/atom
* total magnetic moment: 0.0 μB per formula unit
* raw total energy: -5.142 eV per atom

Entry 7:
An optimized crystal structure of Sb2As2Pb, computed with PBE-GGA.

Lattice parameters (Å, degrees): 8.5652 8.5652 3.7865 90.00 90.00 90.00
Fractional positions:
Pb (0.0000, 0.0000, 0.0000)
Pb (0.5000, 0.5000, 0.0000)
Sb (0.3514, 0.8514, 0.0000)
Sb (0.8514, 0.6486, 0.0000)
Sb (0.6486, 0.1486, 0.0000)
Sb (0.1486, 0.3514, 0.0000)
As (0.1937, 0.6937, 0.5000)
As (0.6937, 0.8063, 0.5000)
As (0.8063, 0.3063, 0.5000)
As (0.3063, 0.1937, 0.5000)

Output
* Fermi-level density of states: 0.540 states/eV/atom
* space group: P4/mbm, No. 127
* total magnetic moment: 0.0 μB per formula unit
* energy relative to the elements, uncorrected: 0.1829 eV/atom
* raw total energy: -4.068 eV per atom

> total magnetic moment of number 6 (NdYAu2)?

0.0 μB per formula unit